Entry 1:
Density functional theory data (PBE) for a relaxed structure of Pr3Sm2In2.

Cell and atoms, written as CIF:
```
data_Pr3Sm2In2
_space_group_name_H-M_alt 'C 1 2/m 1'
_space_group_IT_number 12
_space_group_name_Hall '-C 2y'
_cell_length_a 17.2921
_cell_length_b 3.5864
_cell_length_c 8.1536
_cell_angle_alpha 90.00
_cell_angle_beta 118.09
_cell_angle_gamma 90.00
loop_
_atom_site_label
_atom_site_type_symbol
_atom_site_fract_x
_atom_site_fract_y
_atom_site_fract_z
_atom_site_occupancy
Pr1 Pr 0.0000 0.0000 0.0000 1
Pr2 Pr 0.2107 0.0000 0.1324 1
Sm1 Sm 0.1256 0.0000 0.4725 1
In1 In 0.0681 0.5000 0.7397 1
```

Output
electronic total energy: -0.318 Ry/atom
theoretical density: 7.10 Mg/m³
DFT formation energy: -0.14 eV/atom



Entry 2:
Density functional theory data (PBE) for a relaxed structure of CrTc2Pb.

Cell and atoms, written as CIF:
```
data_CrTc2Pb
_space_group_name_H-M_alt 'I -4 2 d'
_space_group_IT_number 122
_space_group_name_Hall 'I -4 2bw'
_cell_length_a 7.2505
_cell_length_b 7.2505
_cell_length_c 5.3860
_cell_angle_alpha 90.00
_cell_angle_beta 90.00
_cell_angle_gamma 90.00
loop_
_atom_site_label
_atom_site_type_symbol
_atom_site_fract_x
_atom_site_fract_y
_atom_site_fract_z
_atom_site_occupancy
Cr1 Cr 0.0000 0.0000 0.0000 1
Tc1 Tc 0.1768 0.2500 0.1250 1
Pb1 Pb 0.0000 0.0000 0.5000 1
```

Output
electronic total energy: -0.567 Ry/atom
theoretical density: 10.68 Mg/m³
DFT formation energy: 0.80 eV/atom



Entry 3:
Density functional theory data (PBE) for a relaxed structure of CaPmEr2Se4.

Cell and atoms, written as CIF:
```
data_CaPmEr2Se4
_space_group_name_H-M_alt 'P 1 2/m 1'
_space_group_IT_number 10
_space_group_name_Hall '-P 2y'
_cell_length_a 7.1255
_cell_length_b 4.0893
_cell_length_c 7.1495
_cell_angle_alpha 90.00
_cell_angle_beta 109.08
_cell_angle_gamma 90.00
loop_
_atom_site_label
_atom_site_type_symbol
_atom_site_fract_x
_atom_site_fract_y
_atom_site_fract_z
_atom_site_occupancy
Ca1 Ca 0.0000 0.0000 0.0000 1
Pm1 Pm 0.0000 0.5000 0.5000 1
Er1 Er 0.5000 0.0000 0.5000 1
Er2 Er 0.5000 0.5000 0.0000 1
Se1 Se 0.2597 0.5000 0.2500 1
Se2 Se 0.2612 0.0000 0.7578 1
```

Output
energy relative to the elements, uncorrected: -1804 meV/atom
electronic total energy: -0.407 Ry/atom
theoretical density: 7.05 Mg/m³



Entry 4:
Density functional theory data (PBE) for a relaxed structure of SnAuF.

Cell and atoms, written as CIF:
```
data_SnAuF
_space_group_name_H-M_alt 'P m m m'
_space_group_IT_number 47
_space_group_name_Hall '-P 2 2'
_cell_length_a 3.2282
_cell_length_b 4.4344
_cell_length_c 4.5913
_cell_angle_alpha 90.00
_cell_angle_beta 90.00
_cell_angle_gamma 90.00
loop_
_atom_site_label
_atom_site_type_symbol
_atom_site_fract_x
_atom_site_fract_y
_atom_site_fract_z
_atom_site_occupancy
Sn1 Sn 0.0000 0.0000 0.0000 1
Au1 Au 0.5000 0.0000 0.5000 1
F1 F 0.0000 0.5000 0.0000 1
```

Output
energy relative to the elements, uncorrected: -1032 meV/atom
electronic total energy: -0.300 Ry/atom
theoretical density: 8.46 Mg/m³